{"formula": "RbSmVF6", "functional": "GGA+U", "state": "optimized geometry", "cell": [[-3.975, 4.195, 5.656], [3.975, -4.195, 5.656], [3.975, 4.195, -5.656]], "species": ["Rb", "Rb", "Sm", "Sm", "V", "V", "F", "F", "F", "F", "F", "F", "F", "F", "F", "F", "F", "F"], "fractional_positions": [[0.289, 0.039, 0.250], [0.711, 0.961, 0.750], [0.000, 0.500, 0.500], [0.500, 0.500, 0.000], [0.000, 0.000, 0.500], [0.000, 0.500, 0.000], [0.042, 0.400, 0.211], [0.042, 0.832, 0.642], [0.050, 0.800, 0.250], [0.310, 0.168, 0.711], [0.310, 0.600, 0.142], [0.329, 0.579, 0.750], [0.671, 0.421, 0.250], [0.690, 0.400, 0.858], [0.690, 0.832, 0.289], [0.950, 0.200, 0.750], [0.958, 0.168, 0.358], [0.958, 0.600, 0.789]], "sg": "Imma (74)", "dft_energy_ev_per_atom": -5.998, "m_tot_mub_per_cell": 6.00}